The following is a GGA-PBE calculation of an optimized crystal structure of MgMnGaMo, from Alexandria via LeMat-Bulk.

Unit cell a=6.089 b=6.089 c=6.089 alpha=90.00 beta=90.00 gamma=90.00
Space group F-43m (No. 216)
Unique sites:
1 Mg 0.000 0.000 0.000 (multiplicity 4)
2 Mn 0.000 0.000 0.500 (multiplicity 4)
3 Ga 0.250 0.250 0.250 (multiplicity 4)
4 Mo 0.250 0.250 0.750 (multiplicity 4)

Values from the calculation:
Electronic total energy: -6.064 eV/atom
Crystal system: cubic